--- i ---
{"formula": "SrAcTe2", "functional": "PBE", "state": "relaxed", "total_magnetization_mub_per_atom": 0.0007, "space_group": "P4/mmm (123)", "vol_a3_per_cell": 135.4, "lattice_angstrom": [[4.068, 0.000, 0.000], [0.000, 4.068, 0.000], [0.000, 0.000, 8.182]], "species": ["Sr", "Ac", "Te", "Te"], "frac_coords": [[0.000, 0.000, 0.000], [0.000, 0.000, 0.500], [0.500, 0.500, 0.253], [0.500, 0.500, 0.747]]}


--- ii ---
{"formula": "SrAcTe2", "functional": "PBE", "state": "relaxed", "total_magnetization_mub_per_atom": 0.0000, "space_group": "R3m (160)", "vol_a3_per_cell": 456.2, "lattice_angstrom": [[4.599, 0.000, 0.000], [-2.299, 3.983, 0.000], [0.000, 0.000, 24.909]], "species": ["Sr", "Sr", "Sr", "Ac", "Ac", "Ac", "Te", "Te", "Te", "Te", "Te", "Te"], "frac_coords": [[0.000, 0.000, 0.000], [0.333, 0.667, 0.667], [0.667, 0.333, 0.333], [0.000, 0.000, 0.827], [0.333, 0.667, 0.494], [0.667, 0.333, 0.161], [0.000, 0.000, 0.246], [0.000, 0.000, 0.413], [0.333, 0.667, 0.079], [0.333, 0.667, 0.912], [0.667, 0.333, 0.579], [0.667, 0.333, 0.746]]}


Looking at the structures above, ii is most stable, and the difference to the next one is 7.1 kJ/mol of atoms.